[1]
A relaxed Li7Cd2Sn2 crystal. Source: Alexandria, functional GGA-PBE.

abc: 5.8626 8.0766 5.8626
angles: 90.00 119.72 90.00
Element x y z (fractional)
Li: 0.0000 0.3042 0.5000
Li: 0.5000 0.6958 0.0000
Li: 0.0000 0.6958 0.5000
Li: 0.5000 0.3042 0.0000
Li: 0.0000 0.0000 0.0000
Li: 0.5000 0.7913 0.5000
Li: 0.5000 0.2087 0.5000
Cd: 0.7601 0.5000 0.7601
Cd: 0.2399 0.5000 0.2399
Sn: 0.7104 0.0000 0.2896
Sn: 0.2896 0.0000 0.7104

E_form: -1.8 eV/f.u.

=====

[2]
A relaxed CaSm5Ag4 crystal. Source: Alexandria, functional GGA-PBE.

abc: 3.7001 3.7001 20.3955
angles: 90.00 90.00 90.00
Element x y z (fractional)
Ca: 0.0000 0.0000 0.0000
Sm: 0.5000 0.5000 0.1362
Sm: 0.5000 0.5000 0.3164
Sm: 0.5000 0.5000 0.5000
Sm: 0.5000 0.5000 0.6836
Sm: 0.5000 0.5000 0.8638
Ag: 0.0000 0.0000 0.2245
Ag: 0.0000 0.0000 0.4084
Ag: 0.0000 0.0000 0.5916
Ag: 0.0000 0.0000 0.7755

E_form: -1.9 eV/f.u.

=====

[3]
A relaxed CeTh3C3 crystal. Source: Alexandria, functional GGA-PBE.

abc: 5.4342 7.8491 7.8491
angles: 120.00 90.00 90.00
Element x y z (fractional)
Ce: 0.2500 0.6667 0.3333
Ce: 0.7500 0.3333 0.6667
Th: 0.7500 0.7121 0.6498
Th: 0.7500 0.3502 0.0624
Th: 0.7500 0.9376 0.2879
Th: 0.2500 0.2879 0.3502
Th: 0.2500 0.6498 0.9376
Th: 0.2500 0.0624 0.7121
C: 0.2500 0.7106 0.6598
C: 0.2500 0.3402 0.0508
C: 0.2500 0.9492 0.2894
C: 0.7500 0.2894 0.3402
C: 0.7500 0.6598 0.9492
C: 0.7500 0.0508 0.7106

Energy above the lowest structure with this stoichiometry: 0.122 eV/atom
E_form: -0.4 eV/f.u.

=====

[4]
A relaxed Tb2Ni2Sn3 crystal. Source: Alexandria, functional GGA-PBE.

abc: 4.1493 5.6791 7.3834
angles: 112.11 90.00 111.43
Element x y z (fractional)
Tb: 0.8502 0.7004 0.2016
Tb: 0.1498 0.2996 0.7984
Ni: 0.8509 0.7019 0.7750
Ni: 0.1491 0.2981 0.2250
Sn: 0.5000 0.0000 0.0000
Sn: 0.6245 0.2490 0.4489
Sn: 0.3755 0.7510 0.5511

Energy above the lowest structure with this stoichiometry: 0.048 eV/atom
E_form: -3.6 eV/f.u.

=====

[5]
A relaxed Li3FeH7 crystal. Source: Alexandria, functional GGA-PBE.

abc: 4.7701 4.7701 4.6526
angles: 59.82 59.82 90.24
Site moments in Bohr magnetons follow the coordinates.
Element x y z (fractional)
Li: 0.7368 0.2043 0.5310  0.00
Li: 0.4495 0.4495 0.0682  0.00
Li: 0.2043 0.7368 0.5310  0.00
Fe: 0.9647 0.9647 0.0214  -0.09
H: 0.1510 0.1510 0.1116  0.00
H: 0.6778 0.1155 0.1424  0.00
H: 0.0553 0.3060 0.6424  0.00
H: 0.1155 0.6778 0.1424  0.00
H: 0.6857 0.6857 0.4822  0.00
H: 0.3060 0.0553 0.6424  0.00
H: 0.7783 0.7783 0.9350  0.00

Electronic total energy: -3.68 eV/atom

=====

[6]
A relaxed Ac2Zn7Ni crystal. Source: Alexandria, functional GGA-PBE.

abc: 4.4719 4.4719 10.2325
angles: 90.00 90.00 90.00
Element x y z (fractional)
Ac: 0.5000 0.0000 0.7608
Ac: 0.0000 0.5000 0.2392
Zn: 0.0000 0.5000 0.8844
Zn: 0.5000 0.0000 0.3696
Zn: 0.5000 0.0000 0.1156
Zn: 0.0000 0.5000 0.6304
Zn: 0.0000 0.0000 0.5000
Zn: 0.0000 0.0000 0.0000
Zn: 0.5000 0.5000 0.5000
Ni: 0.5000 0.5000 0.0000

E_form: -2.7 eV/f.u.

=====

no.,density of states at the Fermi level (states/eV/f.u.)
1,1.929
2,9.555
3,6.067
4,4.930
5,0.000
6,8.343